A plane-wave DFT calculation with PBE-GGA was carried out for a relaxed NiSe2Br crystal.

Properties
calculated density: 4306 kg/m³
space-group type: P2_1/c, No. 14
E: -59.502 eV per cell
Fermi-level density of states: 0.54 states/eV per atom

Cell lengths 7.9086, 5.2261, 12.5798 Å; angles 90.00, 118.40, 90.00 degrees
Element x y z (fractional)
Ni: 0.1885 0.1956 0.2497
Ni: 0.1885 0.3044 0.7497
Ni: 0.8115 0.6956 0.2503
Ni: 0.8115 0.8044 0.7503
Se: 0.2949 0.5039 0.1656
Se: 0.2949 0.9961 0.6656
Se: 0.4211 0.6141 0.8338
Se: 0.4211 0.8859 0.3338
Se: 0.5789 0.1141 0.6662
Se: 0.5789 0.3859 0.1662
Se: 0.7051 0.0039 0.3344
Se: 0.7051 0.4961 0.8344
Br: 0.0933 0.0531 0.8717
Br: 0.0933 0.4469 0.3717
Br: 0.9067 0.5531 0.6283
Br: 0.9067 0.9469 0.1283